(i)
A relaxed CoNi2Te6 crystal. Source: Alexandria, functional PBE-GGA.

## Properties
- Calculated volume: 207 Å³/f.u.

Lattice parameters (Å, degrees): 6.505 6.505 8.721 97.05 97.05 34.42
Positions (direct):
Co1 0.000 0.000 0.000
Ni1 0.333 0.333 0.668
Ni2 0.667 0.667 0.332
Te1 0.139 0.139 0.520
Te2 0.191 0.191 0.140
Te3 0.472 0.472 0.185
Te4 0.528 0.528 0.815
Te5 0.809 0.809 0.860
Te6 0.861 0.861 0.480

***

(ii)
A relaxed CoNi2Te6 crystal. Source: Alexandria, functional PBE-GGA.

## Properties
- Calculated volume: 213 Å³/f.u.

Lattice parameters (Å, degrees): 5.995 5.995 11.873 90.00 90.00 90.00
Positions (direct):
Co1 0.000 0.000 0.000
Co2 0.500 0.500 0.500
Ni1 0.000 0.000 0.332
Ni2 0.000 0.000 0.668
Ni3 0.500 0.500 0.168
Ni4 0.500 0.500 0.832
Te1 0.195 0.195 0.164
Te2 0.195 0.195 0.836
Te3 0.196 0.196 0.500
Te4 0.304 0.696 0.000
Te5 0.305 0.695 0.336
Te6 0.305 0.695 0.664
Te7 0.695 0.305 0.336
Te8 0.695 0.305 0.664
Te9 0.696 0.304 0.000
Te10 0.804 0.804 0.500
Te11 0.805 0.805 0.164
Te12 0.805 0.805 0.836

***

Verdict on stability: (i) comes out on top.

***

(i)
A relaxed CoNiTe3 crystal. Source: Alexandria, functional PBE-GGA.

## Properties
- Calculated volume: 107 Å³/f.u.

Lattice parameters (Å, degrees): 8.467 8.467 6.397 104.92 104.92 86.00
Positions (direct):
Co1 0.136 0.325 0.440
Co2 0.325 0.136 0.940
Co3 0.675 0.864 0.060
Co4 0.864 0.675 0.560
Ni1 0.100 0.900 0.750
Ni2 0.398 0.602 0.250
Ni3 0.602 0.398 0.750
Ni4 0.900 0.100 0.250
Te1 0.044 0.213 0.012
Te2 0.133 0.627 0.425
Te3 0.213 0.044 0.512
Te4 0.316 0.415 0.844
Te5 0.373 0.867 0.075
Te6 0.415 0.316 0.344
Te7 0.585 0.684 0.656
Te8 0.627 0.133 0.925
Te9 0.684 0.585 0.156
Te10 0.787 0.956 0.488
Te11 0.867 0.373 0.575
Te12 0.956 0.787 0.988

***

(ii)
A relaxed CoNiTe3 crystal. Source: Alexandria, functional PBE-GGA.

## Properties
- Calculated volume: 111 Å³/f.u.

Lattice parameters (Å, degrees): 8.314 8.314 6.505 95.10 95.10 94.28
Positions (direct):
Co1 0.073 0.927 0.750
Co2 0.237 0.763 0.250
Co3 0.763 0.237 0.750
Co4 0.927 0.073 0.250
Ni1 0.266 0.481 0.059
Ni2 0.481 0.266 0.559
Ni3 0.519 0.734 0.441
Ni4 0.734 0.519 0.941
Te1 0.035 0.201 0.614
Te2 0.060 0.661 0.904
Te3 0.201 0.035 0.114
Te4 0.303 0.496 0.450
Te5 0.339 0.940 0.596
Te6 0.496 0.303 0.950
Te7 0.504 0.697 0.050
Te8 0.661 0.060 0.404
Te9 0.697 0.504 0.550
Te10 0.799 0.965 0.886
Te11 0.940 0.339 0.096
Te12 0.965 0.799 0.386

***

Verdict on stability: (i) comes out on top.

***

(i)
A relaxed Th2CoNi crystal. Source: Alexandria, functional PBE-GGA.

## Properties
- Calculated volume: 104 Å³/f.u.

Lattice parameters (Å, degrees): 3.835 3.835 24.601 90.00 90.00 120.00
Positions (direct):
Th1 0.000 0.000 0.104
Th2 0.000 0.000 0.896
Th3 0.333 0.667 0.563
Th4 0.333 0.667 0.770
Th5 0.667 0.333 0.230
Th6 0.667 0.333 0.437
Co1 0.000 0.000 0.500
Co2 0.333 0.667 0.167
Co3 0.667 0.333 0.833
Ni1 0.000 0.000 0.000
Ni2 0.333 0.667 0.667
Ni3 0.667 0.333 0.333

***

(ii)
A relaxed Th2CoNi crystal. Source: Alexandria, functional PBE-GGA.

## Properties
- Calculated volume: 85 Å³/f.u.

Lattice parameters (Å, degrees): 5.833 4.165 7.460 90.00 109.45 90.00
Positions (direct):
Th1 0.231 0.250 0.429
Th2 0.232 0.250 0.939
Th3 0.768 0.750 0.061
Th4 0.769 0.750 0.571
Co1 0.310 0.750 0.208
Co2 0.690 0.250 0.792
Ni1 0.332 0.750 0.707
Ni2 0.668 0.250 0.293

***

(iii)
A relaxed Th2CoNi crystal. Source: Alexandria, functional PBE-GGA.

## Properties
- Calculated volume: 84 Å³/f.u.

Lattice parameters (Å, degrees): 4.918 4.918 3.480 90.00 90.00 90.00
Positions (direct):
Th1 0.000 0.500 0.000
Th2 0.500 0.000 0.000
Co1 0.000 0.000 0.500
Ni1 0.500 0.500 0.500

***

Verdict on stability: (ii) comes out on top.